# HfB3C GGA-PBE relaxed
# E_form, eV/f.u.: 6.1
# Raw total energy, eV/atom: -6.6129
# Calculated density, g cm⁻³: 8.0
# Spin magnetization, μB per formula unit: 0.00
data_HfB3C
_cell_length_a 3.5903
_cell_length_b 3.5903
_cell_length_c 3.5903
_cell_angle_alpha 90.00
_cell_angle_beta 90.00
_cell_angle_gamma 90.00
_space_group_name_H-M_alt 'P 1'
_space_group_IT_number 1
_space_group_name_Hall 'P 1'
loop_
_atom_site_label
_atom_site_fract_x
_atom_site_fract_y
_atom_site_fract_z
C1 0.0000 0.0000 0.0000
B1 0.0000 0.5000 0.0000
B2 0.0000 0.0000 0.5000
B3 0.5000 0.0000 0.0000
Hf1 0.5000 0.5000 0.5000